First-principles (PBE with a Hubbard U) data for Li4Mn3O7 after structural relaxation, as listed in Alexandria via LeMat-Bulk.

Cell and atoms, written as POSCAR:
```
Li4Mn3O7
1.0
3.029 -2.528 9.159
5.384 -1.115 8.320
-2.095 7.250 6.332
O Mn Li
14 6 8
direct
0.838 0.838 0.438
0.109 0.109 0.345
0.466 0.466 0.372
0.402 0.402 0.177
0.679 0.679 0.052
0.162 0.162 0.562
0.598 0.598 0.823
0.891 0.891 0.655
0.971 0.971 0.876
0.029 0.029 0.124
0.253 0.253 0.753
0.321 0.321 0.948
0.747 0.747 0.247
0.534 0.534 0.628
0.640 0.640 0.445
0.214 0.214 0.148
0.061 0.061 0.736
0.360 0.360 0.555
0.939 0.939 0.264
0.786 0.786 0.852
0.700 0.700 0.675
0.300 0.300 0.325
0.000 0.000 0.500
0.874 0.874 0.039
0.569 0.569 0.218
0.431 0.431 0.782
0.500 0.500 0.000
0.126 0.126 0.961
```

Distance to the lowest polymorph of the same formula, meV per atom: 15